Co2NiBr after structural relaxation. Source: Alexandria via LeMat-Bulk, functional PBE.

```
Co2NiBr
1.0
-3.8525 -0.8530 0.2310
2.5249 -1.1398 4.4142
-0.4442 2.3379 1.8841
Br Co Ni
1 2 1
direct
0.5000 0.5000 0.0000
0.0000 0.0000 0.0000
0.5000 0.0000 0.5000
0.0000 0.5000 0.5000
```

Computed properties:
Theoretical density ... 7.74 g/cm³
Energy relative to the lowest polymorph listed for this composition ... 0.3407 eV/atom
N(E_F) ... 5.1 states/eV per cell
Size of the total moment ... 0.88 μB per atom